Material: Nd2ThGe3Ir4
Method: DFT, GGA-PBE
State: optimized geometry

Magnetic moment   0.00 μB per atom
Formation energy   -0.754 eV per atom

Unit cell a=4.293 b=4.293 c=11.200 alpha=90.00 beta=90.00 gamma=90.00
Space group P-4m2 (No. 115)
Unique sites:
1 Nd 0.000 0.500 0.220 x2
2 Th 0.000 0.000 0.500 x1
3 Ge 0.000 0.500 0.879 x2
4 Ge 0.500 0.500 0.500 x1
5 Ir 0.000 0.000 0.000 x1
6 Ir 0.000 0.500 0.658 x2
7 Ir 0.500 0.500 0.000 x1

---

Material: CaSc2Co
Method: DFT, GGA-PBE
State: optimized geometry

Magnetic moment   0.01 μB per atom
Formation energy   0.354 eV per atom
Distance to the lowest polymorph of the same formula   1.76 eV per formula unit

Unit cell a=6.968 b=6.968 c=6.968 alpha=90.00 beta=90.00 gamma=90.00
Space group F-43m (No. 216)
Unique sites:
1 Ca 0.000 0.000 0.000 x4
2 Sc 0.000 0.000 0.500 x4
3 Sc 0.250 0.250 0.250 x4
4 Co 0.250 0.250 0.750 x4

---

Material: GeTe2I
Method: DFT, GGA-PBE
State: optimized geometry

Magnetic moment   0.00 μB per atom
Distance to the lowest polymorph of the same formula   1.55 eV per formula unit

Unit cell a=7.662 b=7.662 c=7.662 alpha=90.00 beta=90.00 gamma=90.00
Space group Fm-3m (No. 225)
Unique sites:
1 Ge 0.000 0.000 0.000 x4
2 Te 0.250 0.250 0.250 x8
3 I 0.000 0.000 0.500 x4

---

Material: InP2Cl
Method: DFT, GGA-PBE
State: optimized geometry

Magnetic moment   0.00 μB per atom
Distance to the lowest polymorph of the same formula   2.15 eV per formula unit

Unit cell a=5.573 b=5.573 c=5.309 alpha=90.00 beta=90.00 gamma=90.00
Space group I4/mmm (No. 139)
Unique sites:
1 In 0.000 0.000 0.000 x2
2 P 0.000 0.500 0.000 x4
3 Cl 0.000 0.000 0.500 x2

---

Material: La15PrNd4
Method: DFT, GGA-PBE
State: optimized geometry

Magnetic moment   0.00 μB per atom
Formation energy   0.009 eV per atom

Unit cell a=5.246 b=5.246 c=26.380 alpha=90.00 beta=90.00 gamma=90.00
Space group P4/mmm (No. 123)
Unique sites:
1 La 0.000 0.000 0.000 x1
2 La 0.000 0.000 0.200 x2
3 La 0.000 0.000 0.400 x2
4 La 0.000 0.500 0.100 x4
5 La 0.000 0.500 0.300 x4
6 La 0.000 0.500 0.500 x2
7 Pr 0.500 0.500 0.000 x1
8 Nd 0.500 0.500 0.200 x2
9 Nd 0.500 0.500 0.400 x2

---

Material: LiIn6Pd
Method: DFT, GGA-PBE
State: optimized geometry

Magnetic moment   0.00 μB per atom
Formation energy   -0.115 eV per atom

Unit cell a=6.727 b=8.857 c=12.185 alpha=90.00 beta=90.00 gamma=90.00
Space group Fmmm (No. 69)
Unique sites:
1 Li 0.000 0.000 0.000 x4
2 In 0.000 0.000 0.255 x8
3 In 0.250 0.250 0.119 x16
4 Pd 0.000 0.000 0.500 x4

---

Material: Cs2GaNiPt
Method: DFT, GGA-PBE
State: optimized geometry

Magnetic moment   0.08 μB per atom
Formation energy   0.539 eV per atom

Unit cell a=6.145 b=6.145 c=4.613 alpha=90.00 beta=90.00 gamma=90.00
Space group P4/mmm (No. 123)
Unique sites:
1 Cs 0.000 0.500 0.000 x2
2 Ga 0.000 0.000 0.500 x1
3 Ni 0.000 0.000 0.000 x1
4 Pt 0.500 0.500 0.500 x1

---

Material: PuZrAgS4
Method: DFT, GGA-PBE
State: optimized geometry

Total energy   -7.301 eV/atom
Magnetic moment   0.71 μB per atom

Unit cell a=7.572 b=8.071 c=11.023 alpha=90.00 beta=90.00 gamma=90.00
Space group Imma (No. 74)
Unique sites:
1 Pu 0.000 0.000 0.000 x4
2 Zr 0.250 0.250 0.250 x4
3 Ag 0.000 0.250 0.634 x4
4 S 0.000 0.027 0.249 x8
5 S 0.241 0.250 0.016 x8

---

Repeat the fourth record exactly.
Material: InP2Cl
Method: DFT, GGA-PBE
State: optimized geometry

Magnetic moment   0.00 μB per atom
Distance to the lowest polymorph of the same formula   2.15 eV per formula unit

Unit cell a=5.573 b=5.573 c=5.309 alpha=90.00 beta=90.00 gamma=90.00
Space group I4/mmm (No. 139)
Unique sites:
1 In 0.000 0.000 0.000 x2
2 P 0.000 0.500 0.000 x4
3 Cl 0.000 0.000 0.500 x2